(1)
Entry from the Alexandria database: a relaxed structure of KAuF3 (GGA-PBE).

- electronic total energy (eV per cell) = -13.51
- total moment (μB per formula unit) = 1.0
- formation energy from raw total energies (eV/atom) = -0.70

Cell lengths 4.738, 4.738, 4.738 Å; angles 90.00, 90.00, 90.00 degrees
Site moments in Bohr magnetons follow the coordinates.
Element x y z (fractional)
F1 0.000 0.000 0.500  -0.48
F2 0.000 0.500 0.000  -0.25
F3 0.500 0.000 0.000  -0.06
Au1 0.500 0.500 0.500  -0.07
K1 0.000 0.000 0.000  -0.06



(2)
Entry from the Alexandria database: a relaxed structure of Ta4BeRe (GGA-PBE).

- ΔE_f (meV per atom) = 691.1
- electronic total energy (eV per cell) = -59.44
- total moment (μB per formula unit) = 0.0

Cell lengths 5.317, 5.317, 5.317 Å; angles 60.00, 60.00, 60.00 degrees
Element x y z (fractional)
Ta1 0.877 0.374 0.374
Ta2 0.374 0.374 0.877
Ta3 0.374 0.374 0.374
Ta4 0.374 0.877 0.374
Re1 0.000 0.000 0.000
Be1 0.750 0.750 0.750



(3)
Entry from the Alexandria database: a relaxed structure of TmCoCu (GGA-PBE).

- ΔE_f (meV per atom) = -113.7
- electronic total energy (eV per cell) = -32.03
- E above lowest polymorph (meV/atom) = 109
- total moment (μB per formula unit) = 0.7

Cell lengths 4.466, 6.078, 5.403 Å; angles 124.21, 114.42, 90.00 degrees
Site moments in Bohr magnetons follow the coordinates.
Element x y z (fractional)
Co1 0.944 0.864 0.173  0.82
Co2 0.443 0.864 0.172  0.82
Tm1 0.445 0.864 0.672  -0.13
Tm2 0.944 0.364 0.672  -0.13
Cu1 0.194 0.234 0.172  0.00
Cu2 0.694 0.494 0.172  0.00



(4)
Entry from the Alexandria database: a relaxed structure of Cs2RhCF6 (GGA-PBE).

- electronic total energy (eV per cell) = -43.00
- total moment (μB per formula unit) = 1.0
- formation energy from raw total energies (eV/atom) = -1.35

Cell lengths 5.765, 5.765, 6.722 Å; angles 64.61, 64.61, 90.00 degrees
Site moments in Bohr magnetons follow the coordinates.
Element x y z (fractional)
Cs1 0.250 0.750 0.500  0.00
Cs2 0.750 0.250 0.500  0.00
F1 0.812 0.812 0.376  0.00
F2 0.252 0.252 0.000  0.02
F3 0.188 0.188 0.624  0.00
F4 0.748 0.748 0.000  0.02
F5 0.252 0.748 0.000  0.01
F6 0.748 0.252 0.000  0.01
Rh1 0.000 0.000 0.000  0.00
C1 0.500 0.500 0.000  0.51



(5)
Entry from the Alexandria database: a relaxed structure of Tb3Nd2Te6 (GGA-PBE).

- electronic total energy (eV per cell) = -58.10
- total moment (μB per formula unit) = 0.0
- formation energy from raw total energies (eV/atom) = -1.44

Cell lengths 7.639, 7.609, 7.635 Å; angles 80.33, 70.44, 59.87 degrees
Element x y z (fractional)
Te1 0.417 0.679 0.751
Te2 0.583 0.321 0.249
Te3 0.096 0.321 0.751
Te4 0.904 0.679 0.249
Te5 0.736 0.000 0.754
Te6 0.264 0.000 0.246
Nd1 0.164 0.672 0.500
Nd2 0.836 0.328 0.500
Tb1 0.000 0.000 0.000
Tb2 0.329 0.341 0.000
Tb3 0.671 0.659 0.000



(6)
Entry from the Alexandria database: a relaxed structure of CdSi2Br (GGA-PBE).

- electronic total energy (eV per cell) = -12.17
- E above lowest polymorph (meV/atom) = 294
- total moment (μB per formula unit) = 0.0
- formation energy from raw total energies (eV/atom) = 0.32

Cell lengths 4.944, 3.383, 6.150 Å; angles 58.89, 90.00, 90.00 degrees
Element x y z (fractional)
Si1 0.000 0.021 0.108
Si2 0.500 0.235 0.127
Br1 0.000 0.352 0.637
Cd1 0.500 0.892 0.627



(7)
Entry from the Alexandria database: a relaxed structure of BaEuInAg (GGA-PBE).

- ΔE_f (meV per atom) = -284.8
- electronic total energy (eV per cell) = -18.93
- total moment (μB per formula unit) = 7.4

Cell lengths 5.739, 5.739, 5.739 Å; angles 60.00, 60.00, 60.00 degrees
Site moments in Bohr magnetons follow the coordinates.
Element x y z (fractional)
Ba1 0.500 0.500 0.500  0.02
In1 0.750 0.750 0.750  0.05
Eu1 0.000 0.000 0.000  6.90
Ag1 0.250 0.250 0.250  0.01



(8)
Entry from the Alexandria database: a relaxed structure of Pm3Zn4Cu4 (GGA-PBE).

- ΔE_f (meV per atom) = -235.0
- electronic total energy (eV per cell) = -38.32
- E above lowest polymorph (meV/atom) = 28
- total moment (μB per formula unit) = 0.0

Cell lengths 4.414, 6.696, 8.161 Å; angles 114.22, 105.69, 90.00 degrees
Element x y z (fractional)
Cu1 0.334 0.521 0.668
Cu2 0.666 0.852 0.332
Cu3 0.666 0.479 0.332
Cu4 0.334 0.148 0.668
Pm1 0.140 0.140 0.280
Pm2 0.000 0.500 0.000
Pm3 0.860 0.860 0.720
Zn1 0.500 0.183 0.000
Zn2 0.500 0.817 0.000
Zn3 0.215 0.715 0.429
Zn4 0.785 0.285 0.571



Among the records above, which one has the highest electronic total energy? CdSi2Br



Number 1 is which compound? KAuF3